*1*
DFT (PBE) results for a relaxed structure of NaMoAs.

Cell lengths 2.7382, 3.2756, 7.1834 Å; angles 78.97, 81.91, 67.84 degrees
With the nearest neighbours (Å) after each atom.
Element x y z (fractional)
Na  0.1667  0.1017  0.6045  2 Na 2.74
Mo  0.6100  0.4750  0.9832  3 As 2.50-2.62, 2 Mo 2.74
As  0.8668  0.8162  0.2397  3 Mo 2.50-2.62, 2 As 2.74

**D(E_F)**: 0.963 states/eV/f.u.
**SG**: P1
**M_tot**: 0.000 μB per formula unit

*2*
DFT (PBE) results for a relaxed structure of NaMoAs.

Cell lengths 3.3499, 4.7999, 4.5524 Å; angles 90.00, 111.66, 90.00 degrees
With the nearest neighbours (Å) after each atom.
Element x y z (fractional)
Na  0.3843  0.5000  0.1731  4 As 3.06, 4 Mo 3.32, 2 Na 3.35
Mo  0.0685  0.0000  0.5430  3 As 2.44-2.46
As  0.7798  0.0000  0.9625  3 Mo 2.44-2.46

**D(E_F)**: 2.440 states/eV/f.u.
**SG**: Amm2
**M_tot**: 0.000 μB per formula unit

Stability check: which of them is most stable? *1*.

*1*
DFT (PBE) results for a relaxed structure of NaMoAs.

Cell lengths 4.3324, 4.3324, 3.5956 Å; angles 90.00, 90.00, 120.00 degrees
With the nearest neighbours (Å) after each atom.
Element x y z (fractional)
Na  0.3333  0.6667  0.0000  6 Mo 3.08, 6 As 3.08
Mo  0.0000  0.0000  0.5000  3 As 2.50
As  0.6667  0.3333  0.5000  3 Mo 2.50

**D(E_F)**: 3.427 states/eV/f.u.
**SG**: P-6m2
**M_tot**: 0.002 μB per formula unit

*2*
DFT (PBE) results for a relaxed structure of NaMoAs.

Cell lengths 3.9532, 3.9532, 7.5990 Å; angles 90.00, 90.00, 90.00 degrees
With the nearest neighbours (Å) after each atom.
Element x y z (fractional)
As  0.5000  0.0000  0.7269  4 Mo 2.62
As  0.0000  0.5000  0.2731  4 Mo 2.62
Na  0.5000  0.0000  0.1407  5 As 2.97-3.15
Na  0.0000  0.5000  0.8593  5 As 2.97-3.15
Mo  0.5000  0.5000  0.5000  4 As 2.62, 4 Mo 2.80
Mo  0.0000  0.0000  0.5000  4 As 2.62, 4 Mo 2.80

**D(E_F)**: 1.647 states/eV/f.u.
**SG**: P4/nmm
**M_tot**: 0.000 μB per formula unit

Stability check: which of them is most stable? *2*.

*1*
DFT (PBE) results for a relaxed structure of NaMoAs2.

Cell lengths 3.3320, 3.3320, 8.4254 Å; angles 78.60, 78.60, 60.00 degrees
With the nearest neighbours (Å) after each atom.
Element x y z (fractional)
Na  0.5004  0.5004  0.4987  6 As 3.06-3.08, 6 Na 3.33
Mo  0.6665  0.6665  0.0006  6 As 2.57
As  0.0693  0.0693  0.7920  3 Mo 2.57
As  0.2638  0.2638  0.2086  3 Mo 2.57

**D(E_F)**: 1.079 states/eV/f.u.
**SG**: R3m
**M_tot**: 0.000 μB per formula unit

*2*
DFT (PBE) results for a relaxed structure of NaMoAs2.

Cell lengths 4.6402, 4.6402, 4.6402 Å; angles 60.00, 60.00, 60.00 degrees
With the nearest neighbours (Å) after each atom.
Element x y z (fractional)
Na  0.0000  0.0000  0.0000  8 As 2.84
Mo  0.5000  0.5000  0.5000  8 As 2.84
As  0.2500  0.2500  0.2500  4 Mo 2.84, 4 Na 2.84
As  0.7500  0.7500  0.7500  4 Na 2.84, 4 Mo 2.84

**D(E_F)**: 1.723 states/eV/f.u.
**SG**: Fm-3m
**M_tot**: 1.830 μB per formula unit

Stability check: which of them is most stable? *1*.

*1*
DFT (PBE) results for a relaxed structure of NaMoAs2.

Cell lengths 3.3352, 3.3352, 8.3869 Å; angles 78.53, 78.53, 60.00 degrees
With the nearest neighbours (Å) after each atom.
Element x y z (fractional)
Na  0.5000  0.5000  0.5000  6 As 3.06, 6 Na 3.34
Mo  0.0000  0.0000  0.0000  6 As 2.57
As  0.7364  0.7364  0.7908  3 Mo 2.57
As  0.2636  0.2636  0.2092  3 Mo 2.57

**D(E_F)**: 0.999 states/eV/f.u.
**SG**: R-3m
**M_tot**: 0.000 μB per formula unit

*2*
DFT (PBE) results for a relaxed structure of NaMoAs2.

Cell lengths 6.4643, 6.4643, 7.2635 Å; angles 63.58, 63.58, 90.00 degrees
With the nearest neighbours (Å) after each atom.
Element x y z (fractional)
Na  0.5000  0.5000  0.0000  4 As 3.03
Na  0.2500  0.7500  0.5000  4 As 3.03
Mo  0.0000  0.0000  0.0000  4 As 2.41
Mo  0.7500  0.2500  0.5000  4 As 2.41
As  0.7066  0.1250  0.2500  2 Mo 2.41
As  0.0434  0.6250  0.2500  2 Mo 2.41
As  0.3750  0.2934  0.7500  2 Mo 2.41
As  0.8750  0.9566  0.7500  2 Mo 2.41

**D(E_F)**: 2.723 states/eV/f.u.
**SG**: I-42d
**M_tot**: 0.805 μB per formula unit

Stability check: which of them is most stable? *1*.

*1*
DFT (PBE) results for a relaxed structure of NaMoAs2Se.

Cell lengths 4.8912, 4.8912, 5.1644 Å; angles 90.00, 90.00, 90.00 degrees
With the nearest neighbours (Å) after each atom.
Element x y z (fractional)
Na  0.5000  0.5000  0.5000  4 Se 3.46, 8 As 3.56
Mo  0.0000  0.0000  0.0000  4 As 2.45, 2 Se 2.58
As  0.0000  0.5000  0.0000  2 Mo 2.45
As  0.5000  0.0000  0.0000  2 Mo 2.45
Se  0.0000  0.0000  0.5000  2 Mo 2.58

**D(E_F)**: 3.792 states/eV/f.u.
**SG**: P4/mmm
**M_tot**: 0.000 μB per formula unit

*2*
DFT (PBE) results for a relaxed structure of NaMoAs2Se.

Cell lengths 4.7994, 4.7994, 4.8658 Å; angles 90.00, 90.00, 90.00 degrees
With the nearest neighbours (Å) after each atom.
Element x y z (fractional)
Na  0.0000  0.0000  0.0000  4 As 2.40, 2 Se 2.43
Mo  0.5000  0.5000  0.5000  4 Se 3.39, 8 As 3.42
As  0.0000  0.5000  0.0000  2 Na 2.40
As  0.5000  0.0000  0.0000  2 Na 2.40
Se  0.0000  0.0000  0.5000  2 Na 2.43

**D(E_F)**: 10.770 states/eV/f.u.
**SG**: P4/mmm
**M_tot**: 0.000 μB per formula unit

Stability check: which of them is most stable? *1*.

*1*
DFT (PBE) results for a relaxed structure of Nb3MoAs.

Cell lengths 4.6955, 4.6955, 4.6955 Å; angles 90.00, 90.00, 90.00 degrees
With the nearest neighbours (Å) after each atom.
Element x y z (fractional)
As  0.0000  0.0000  0.0000  6 Nb 2.35
Mo  0.5000  0.5000  0.5000  12 Nb 3.32
Nb  0.0000  0.5000  0.0000  2 As 2.35
Nb  0.0000  0.0000  0.5000  2 As 2.35
Nb  0.5000  0.0000  0.0000  2 As 2.35

**D(E_F)**: 5.770 states/eV/f.u.
**SG**: Pm-3m
**M_tot**: 0.003 μB per formula unit

*2*
DFT (PBE) results for a relaxed structure of Nb3MoAs.

Cell lengths 4.8364, 4.8364, 4.8364 Å; angles 90.00, 90.00, 90.00 degrees
With the nearest neighbours (Å) after each atom.
Element x y z (fractional)
As  0.5000  0.5000  0.5000  12 Nb 3.42
Mo  0.0000  0.0000  0.0000  6 Nb 2.42
Nb  0.0000  0.5000  0.0000  2 Mo 2.42
Nb  0.0000  0.0000  0.5000  2 Mo 2.42
Nb  0.5000  0.0000  0.0000  2 Mo 2.42

**D(E_F)**: 3.494 states/eV/f.u.
**SG**: Pm-3m
**M_tot**: 0.000 μB per formula unit

Stability check: which of them is most stable? *1*.